VTePb3: relaxed, GGA-PBE.

a b c (Å): 5.377 5.377 5.377
angles (deg): 90.00 90.00 90.00
Site moments in Bohr magnetons follow the coordinates.
Sites, in units of the cell vectors:
Te (0.500, 0.500, 0.500)  0.28
Pb (0.000, 0.000, 0.500)  0.01
Pb (0.500, 0.000, 0.000)  0.01
V (0.000, 0.000, 0.000)  1.63
Pb (0.000, 0.500, 0.000)  0.01

Results
The energy above the most stable polymorph in this dataset is 0.0000 eV per atom. The value obtained for the formation energy from raw total energies is 0.31 eV/atom. The crystal system is cubic. The symmetry is No. 221.